Entry w
Crystalline VPtN2F at its relaxed geometry, computed with PBE+U.

Cell lengths 3.902, 3.902, 3.725 Å; angles 90.00, 90.00, 90.00 degrees
Positions (direct):
N: 0.000 0.500 0.000
N: 0.500 0.000 0.000
F: 0.000 0.000 0.500
Pt: 0.500 0.500 0.500
V: 0.000 0.000 0.000

***

Entry x
Crystalline VPtN2F at its relaxed geometry, computed with PBE+U.

Cell lengths 3.746, 5.384, 3.746 Å; angles 90.00, 90.00, 90.00 degrees
Positions (direct):
N: 0.000 0.000 0.500
N: 0.500 0.000 0.000
F: 0.000 0.500 0.000
Pt: 0.000 0.000 0.000
V: 0.500 0.500 0.500

***

Relative to the most stable one, in meV per atom, the structures come out at entry w 0; entry x 407.

***

Entry w
Crystalline PtWN2F at its relaxed geometry, computed with PBE+U.

Cell lengths 4.027, 4.027, 4.099 Å; angles 90.00, 90.00, 90.00 degrees
Positions (direct):
N: 0.000 0.500 0.000
N: 0.500 0.000 0.000
W: 0.500 0.500 0.500
Pt: 0.000 0.000 0.000
F: 0.000 0.000 0.500

***

Entry x
Crystalline PtWN2F at its relaxed geometry, computed with PBE+U.

Cell lengths 4.009, 4.009, 3.993 Å; angles 90.00, 90.00, 90.00 degrees
Positions (direct):
N: 0.000 0.500 0.000
N: 0.500 0.000 0.000
W: 0.000 0.000 0.000
Pt: 0.500 0.500 0.500
F: 0.000 0.000 0.500

***

Relative to the most stable one, in meV per atom, the structures come out at entry w 711; entry x 0.